First-principles (PBE) data for BaCd2Ru after structural relaxation, as listed in the Alexandria database.

The structure in extended XYZ format:
```
4
Lattice="4.812 -0.018 -0.003 2.427 4.155 -0.003 2.414 1.380 5.720" Properties=species:S:1:pos:R:3 pbc="T T T"
Cd 2.415 1.380 4.805
Cd 7.241 4.138 3.976
Ba 2.408 1.376 1.466
Ru 4.830 2.760 4.043
```

## Properties
- DOS(E_F): 2.7 states/eV/cell
- Total magnetization: 0.00 μB/f.u.
- Formation energy from the elements: 0.5 eV per formula unit